Sr2YCrCu2O8: relaxed, PBE+U.

E_tot ... -92.9 eV/f.u.
DOS(E_F) ... 0.423 states/eV/atom

a b c (Å): 11.552 5.431 5.443
angles (deg): 90.00 90.00 90.00
Space group Amm2 (No. 38)
Asymmetric unit:
Sr (0.165, 0.000, 0.000) (multiplicity 4)
Y (0.500, 0.000, 0.998) (multiplicity 2)
Cr (0.000, 0.000, 0.500) (multiplicity 2)
Cu (0.344, 0.000, 0.498) (multiplicity 4)
O (0.000, 0.250, 0.250) (multiplicity 4)
O (0.167, 0.000, 0.500) (multiplicity 4)
O (0.377, 0.250, 0.248) (multiplicity 8)